The following is a DFT calculation (PBE-GGA) of a relaxed Y3Er6Th crystal.

abc: 9.7783 9.7783 11.7113
angles: 90.00 90.00 120.00
Space group R32 (No. 155, hexagonal axes)
Symmetry-distinct sites (fractional):
1 Y 0.0000 0.0000 0.0000 x3
2 Y 0.0000 0.0000 0.2421 x6
3 Er 0.0000 0.3307 0.5000 x9
4 Er 0.0000 0.6643 0.0000 x9
5 Th 0.0000 0.0000 0.5000 x3

Values from the calculation:
- DFT formation energy (eV/atom) = 0.32
- excess energy over the best structure of this formula in the dataset (eV per atom) = 0.173
- calculated volume (Å³ per cell) = 969.8
- magnetization (μB per atom) = 0.00



The following is a DFT calculation (PBE-GGA) of a relaxed YEr3Th5 crystal.

abc: 9.1813 9.1813 14.2234
angles: 90.00 90.00 90.00
Space group I4/mcm (No. 140)
Symmetry-distinct sites (fractional):
1 Y 0.0000 0.5000 0.2500 x4
2 Er 0.0000 0.0000 0.2500 x4
3 Er 0.1040 0.3960 0.0000 x8
4 Th 0.0000 0.0000 0.0000 x4
5 Th 0.2078 0.2922 0.3743 x16

Values from the calculation:
- DFT formation energy (eV/atom) = 0.45
- calculated volume (Å³ per cell) = 1199.0
- magnetization (μB per atom) = 0.00



The following is a DFT calculation (PBE-GGA) of a relaxed Y4Er2Th3 crystal.

abc: 3.5648 3.5648 26.4346
angles: 90.00 90.00 120.00
Space group P3m1 (No. 156)
Symmetry-distinct sites (fractional):
1 Y 0.0000 0.0000 0.0000 x1
2 Y 0.0000 0.0000 0.2194 x1
3 Y 0.3333 0.6667 0.3289 x1
4 Y 0.3333 0.6667 0.5506 x1
5 Er 0.0000 0.0000 0.6580 x1
6 Er 0.0000 0.0000 0.8749 x1
7 Th 0.0000 0.0000 0.4395 x1
8 Th 0.3333 0.6667 0.1075 x1
9 Th 0.3333 0.6667 0.7689 x1

Values from the calculation:
- DFT formation energy (eV/atom) = 0.08
- calculated volume (Å³ per cell) = 290.9
- magnetization (μB per atom) = 0.00



The following is a DFT calculation (PBE-GGA) of a relaxed Y2Er3Th2 crystal.

abc: 15.3775 3.5676 8.6883
angles: 90.00 111.54 90.00
Space group C2/m (No. 12)
Symmetry-distinct sites (fractional):
1 Y 0.2155 0.0000 0.1417 x4
2 Er 0.0000 0.5000 0.0000 x2
3 Er 0.1391 0.5000 0.4338 x4
4 Th 0.0694 0.0000 0.7119 x4

Values from the calculation:
- DFT formation energy (eV/atom) = 0.02
- excess energy over the best structure of this formula in the dataset (eV per atom) = 0.000
- calculated volume (Å³ per cell) = 443.3
- magnetization (μB per atom) = 0.00